{
  "formula": "TlVRhO6",
  "functional": "GGA+U",
  "state": "relaxed",
  "spacegroup": "P312 (149)",
  "energy_ev_per_atom": -6.2783,
  "lattice_angstrom": [[5.1404, 0.0000, 0.0000], [2.5702, 4.4517, 0.0003], [0.0000, -0.0004, 4.8299]],
  "species": ["O", "Rh", "O", "O", "O", "Tl", "V", "O", "O"],
  "fractional_positions": [[0.9863, 0.6395, 0.7209], [0.3333, 0.3333, 0.5000], [0.3741, 0.6395, 0.2791], [0.3741, 0.9864, 0.7209], [0.6395, 0.3741, 0.7209], [0.0000, 0.0000, 0.0000], [0.6666, 0.6667, 0.5000], [0.9863, 0.3741, 0.2791], [0.6395, 0.9864, 0.2791]]
}